A crystal of Mn2Ru relaxed with PBEsol, computed with SCAN.

POSCAR file:
```
Mn2Ru
1.0
3.925 0.000 0.000
-1.963 3.400 0.000
0.000 0.000 2.561
Mn Ru
2 1
Cartesian
0.000 2.266 0.000
1.963 1.133 0.000
0.000 0.000 1.280
```

Its theoretical density is 10251 kg/m³. The density of states at the Fermi level is 0.740 states/eV per atom.

---

A crystal of Mn3Ru relaxed with PBEsol, computed with SCAN.

POSCAR file:
```
Mn3Ru
1.0
2.551 0.000 0.000
0.000 2.551 0.000
0.000 0.000 6.987
Mn Ru
3 1
Cartesian
0.000 0.000 0.000
1.276 1.276 1.656
1.276 1.276 5.331
0.000 0.000 3.494
```

Its theoretical density is 9709 kg/m³. The density of states at the Fermi level is 0.889 states/eV per atom.

---

A crystal of Mn2Ru relaxed with PBEsol, computed with SCAN.

POSCAR file:
```
Mn2Ru
1.0
4.584 -1.287 0.000
4.584 1.287 0.000
-1.508 0.000 5.785
Mn Ru
4 2
Cartesian
-0.169 0.000 1.686
1.894 0.000 5.624
5.767 0.000 0.162
7.830 0.000 4.099
2.310 0.000 2.065
5.351 0.000 3.721
```

Its theoretical density is 10264 kg/m³. The density of states at the Fermi level is 0.954 states/eV per atom.

---

A crystal of MnRu relaxed with PBEsol, computed with SCAN.

POSCAR file:
```
MnRu
1.0
4.504 0.000 0.000
0.000 4.084 0.000
0.000 0.000 5.155
Mn Ru
4 4
Cartesian
0.357 1.021 0.637
1.895 3.063 3.214
2.609 1.021 1.941
4.147 3.063 4.518
0.414 1.021 3.230
1.838 3.063 0.652
2.666 1.021 4.503
4.090 3.063 1.925
```

Its theoretical density is 10928 kg/m³. The density of states at the Fermi level is 0.952 states/eV per atom.

---

A crystal of MnRu relaxed with PBEsol, computed with SCAN.

POSCAR file:
```
MnRu
1.0
2.606 0.000 0.000
-1.303 2.257 0.000
0.000 0.000 8.111
Mn Ru
2 2
Cartesian
0.000 1.504 3.106
1.303 0.752 5.005
0.000 1.504 7.011
1.303 0.752 1.100
```

Its theoretical density is 10862 kg/m³. The density of states at the Fermi level is 1.154 states/eV per atom.

---

A crystal of Mn2Ru relaxed with PBEsol, computed with SCAN.

POSCAR file:
```
Mn2Ru
1.0
1.284 -6.579 0.000
1.284 6.579 0.000
0.000 0.000 4.038
Mn Ru
4 2
Cartesian
1.284 5.835 3.028
1.284 2.922 1.009
1.284 -2.922 3.028
1.284 -5.835 1.009
1.284 1.459 3.028
1.284 -1.459 1.009
```

Its theoretical density is 10269 kg/m³. The density of states at the Fermi level is 1.064 states/eV per atom.

---

A crystal of MnRu relaxed with PBEsol, computed with SCAN.

POSCAR file:
```
MnRu
1.0
2.608 0.000 0.000
-1.304 2.258 0.000
0.000 0.000 4.049
Mn Ru
1 1
Cartesian
0.000 0.000 0.000
1.304 0.753 2.025
```

Its theoretical density is 10864 kg/m³. The density of states at the Fermi level is 0.923 states/eV per atom.

---

A crystal of Mn3Ru relaxed with PBEsol, computed with SCAN.

POSCAR file:
```
Mn3Ru
1.0
2.548 0.000 0.000
-1.274 2.207 0.000
0.000 0.000 7.953
Mn Ru
3 1
Cartesian
0.000 0.000 0.000
0.000 1.471 1.918
0.000 1.471 6.035
0.000 0.000 3.976
```

Its theoretical density is 9874 kg/m³. The density of states at the Fermi level is 1.182 states/eV per atom.

---

A crystal of Mn7Ru6 relaxed with PBEsol, computed with SCAN.

POSCAR file:
```
Mn7Ru6
1.0
2.285 1.320 8.428
-2.285 1.320 8.428
0.000 -2.639 8.428
Mn Ru
7 6
Cartesian
0.000 0.000 0.000
0.000 -1.301 6.493
-1.126 0.650 6.493
-1.126 -0.650 18.792
1.126 0.650 6.493
1.126 -0.650 18.792
0.000 1.301 18.792
0.000 0.000 4.118
0.000 0.000 8.812
0.000 0.000 11.436
0.000 0.000 13.849
0.000 0.000 16.472
0.000 0.000 21.166
```

Its theoretical density is 10790 kg/m³. The density of states at the Fermi level is 0.974 states/eV per atom.

---

A crystal of MnRu4 relaxed with PBEsol, computed with SCAN.

POSCAR file:
```
MnRu4
1.0
-2.948 2.948 1.860
2.948 -2.948 1.860
2.948 2.948 -1.860
Mn Ru
1 4
Cartesian
0.000 0.000 0.000
3.529 1.184 0.000
1.184 2.367 0.000
1.764 0.581 1.860
-0.581 1.764 1.860
```

Its theoretical density is 11794 kg/m³. The density of states at the Fermi level is 0.846 states/eV per atom.

---

A crystal of Mn3Ru relaxed with PBEsol, computed with SCAN.

POSCAR file:
```
Mn3Ru
1.0
4.394 0.000 0.000
0.000 8.029 0.000
0.000 0.000 5.048
Mn Ru
12 4
Cartesian
0.366 2.007 0.642
1.062 4.057 4.402
1.062 7.986 4.402
1.135 0.043 1.878
1.135 3.972 1.878
1.831 6.022 3.166
2.563 2.007 1.882
3.258 4.057 3.170
3.258 7.986 3.170
3.332 0.043 0.646
3.332 3.972 0.646
4.027 6.022 4.406
0.341 2.007 3.125
1.856 6.022 0.601
2.538 2.007 4.447
4.053 6.022 1.923
```

Its theoretical density is 9918 kg/m³. The density of states at the Fermi level is 1.000 states/eV per atom.

---

A crystal of Mn24Ru5 relaxed with PBEsol, computed with SCAN.

POSCAR file:
```
Mn24Ru5
1.0
-4.286 4.286 4.286
4.286 -4.286 4.286
4.286 4.286 -4.286
Mn Ru
24 5
Cartesian
4.004 1.224 -1.224
4.004 -1.224 1.224
6.147 0.768 -0.768
6.147 -0.768 0.768
2.425 0.768 0.768
3.518 3.518 -1.861
3.518 -1.861 3.518
4.569 1.224 1.224
1.224 4.004 -1.224
1.224 -1.224 4.004
0.768 2.425 0.768
0.768 0.768 2.425
3.063 3.063 0.282
3.063 0.282 3.063
-1.224 4.004 1.224
-1.224 1.224 4.004
0.768 6.147 -0.768
0.768 -0.768 6.147
1.224 4.569 1.224
1.224 1.224 4.569
0.282 3.063 3.063
-0.768 6.147 0.768
-0.768 0.768 6.147
-1.861 3.518 3.518
0.000 0.000 0.000
1.571 1.571 -1.571
1.571 -1.571 1.571
-1.571 1.571 1.571
2.715 2.715 2.715
```

Its theoretical density is 9615 kg/m³. The density of states at the Fermi level is 0.884 states/eV per atom.

---

Q: Which ΔE_f values were calculated for the entries above? A: 0.13, -0.02, 0.02, 0.11, 0.16, 0.16, 0.14, 0.23, 0.08, 0.03, 0.06, 0.10, in eV/atom.
Q: Which uncorrected energy values were calculated for the entries above? A: -23.652, -22.415, -23.754, -26.432, -26.377, -23.620, -26.406, -22.171, -25.823, -31.484, -22.340, -21.013, in eV/atom.